A relaxed structure of Ba4DySb3O12, computed with PBE-GGA.

Properties
**DOS(E_F)**: 5.5 states/eV/cell
**Uncorrected formation energy**: -221.3 kJ/mol of atoms
**E**: -6.502 eV/atom
**Calculated density**: 6.736 Mg/m³
**SG**: No. 229
**Spin magnetization**: 0.0 μB/cell

Structure (POSCAR):
```
Ba4DySb3O12
1.0
7.407 0.000 0.000
-2.469 6.983 0.000
-2.469 -3.492 6.048
O Ba Sb Dy
12 4 3 1
Cartesian
3.652 -2.583 4.473
-3.652 2.583 4.473
3.652 5.165 0.000
-1.235 3.492 3.024
1.286 1.818 0.000
3.704 2.619 1.512
1.286 -0.909 1.575
-1.235 0.873 4.536
1.235 4.365 1.512
1.235 -0.873 4.536
3.704 0.000 3.024
-1.286 0.909 1.575
3.704 0.000 0.000
-1.235 3.492 0.000
1.235 1.746 3.024
-1.235 -1.746 3.024
2.469 3.492 0.000
-2.469 1.746 3.024
2.469 -1.746 3.024
0.000 0.000 0.000
```



A relaxed structure of Ba2DySbO6, computed with PBE-GGA.

Properties
**DOS(E_F)**: 0.0 states/eV/cell
**Uncorrected formation energy**: -258.1 kJ/mol of atoms
**E**: -6.907 eV/atom
**Calculated density**: 7.029 Mg/m³
**SG**: No. 148
**Spin magnetization**: 0.0 μB/cell

Structure (POSCAR):
```
Ba2DySbO6
1.0
-2.284 3.500 -4.340
-0.765 -2.203 -5.556
-5.555 -1.034 -2.092
Sb Ba O Dy
1 2 6 1
Cartesian
-4.302 0.131 -5.994
-6.453 0.197 -8.990
-2.151 0.066 -2.997
-5.999 1.208 -6.187
-2.605 -0.945 -5.800
-5.228 -1.472 -6.800
-3.719 0.720 -7.835
-4.885 -0.457 -4.153
-3.377 1.734 -5.187
0.000 0.000 0.000
```



A relaxed structure of Ba2DySb3O12, computed with PBE-GGA.

Properties
**DOS(E_F)**: 5.2 states/eV/cell
**Uncorrected formation energy**: -182.8 kJ/mol of atoms
**E**: -6.357 eV/atom
**Calculated density**: 5.980 Mg/m³
**SG**: No. 166
**Spin magnetization**: 2.0 μB/cell

Structure (POSCAR):
```
Ba2DySb3O12
1.0
7.128 -0.191 -0.136
3.354 6.292 -0.136
3.354 1.952 5.983
Ba O Sb Dy
2 12 3 1
Cartesian
5.306 3.088 2.191
8.530 4.965 3.522
7.817 1.953 4.137
3.309 4.037 0.627
3.309 1.926 3.603
6.018 3.503 5.236
8.690 7.169 5.085
6.018 6.100 1.575
8.276 2.221 1.575
5.145 0.884 0.627
10.526 6.127 2.109
7.817 4.550 0.476
10.526 4.016 5.085
5.559 5.833 4.137
3.564 -0.096 -0.068
1.677 0.976 2.992
1.677 3.146 -0.068
0.000 0.000 0.000
```



A relaxed structure of BaDySnSbO6, computed with PBE-GGA.

Properties
**DOS(E_F)**: 0.0 states/eV/cell
**Uncorrected formation energy**: -213.7 kJ/mol of atoms
**E**: -6.655 eV/atom
**Calculated density**: 7.051 Mg/m³
**SG**: No. 118
**Spin magnetization**: 0.0 μB/cell
**Polymorph energy (0 for the lowest one)**: 0 meV per atom

Structure (POSCAR):
```
BaDySnSbO6
1.0
-4.319 3.327 2.338
-3.610 -4.707 0.029
2.687 -2.013 7.827
Sb Ba O Sn Dy
2 2 12 2 2
Cartesian
-3.965 -0.690 1.183
1.343 -1.007 3.914
-1.133 -2.857 1.971
-0.145 0.154 7.040
-2.051 -3.780 4.470
-2.096 -0.030 0.816
-3.131 0.342 5.901
-0.789 -4.513 8.273
1.980 -1.484 5.769
-1.915 -2.226 7.156
-1.828 -0.847 9.572
-3.328 -1.167 3.038
-5.772 -1.395 1.727
0.707 -0.529 2.059
-0.588 -0.952 4.486
-4.715 -2.395 5.531
0.210 -3.863 5.885
-1.488 1.160 3.126
-2.621 -1.697 5.097
0.000 0.000 0.000
```



A relaxed structure of BaDySnSbO6, computed with PBE-GGA.

Properties
**DOS(E_F)**: 0.0 states/eV/cell
**Uncorrected formation energy**: -212.2 kJ/mol of atoms
**E**: -6.639 eV/atom
**Calculated density**: 6.991 Mg/m³
**SG**: No. 216
**Spin magnetization**: 0.0 μB/cell
**Polymorph energy (0 for the lowest one)**: 15 meV per atom

Structure (POSCAR):
```
BaDySnSbO6
1.0
0.000 4.228 4.228
4.228 0.000 4.228
4.228 4.228 0.000
Ba O Dy Sn Sb
1 6 1 1 1
Cartesian
6.342 6.342 6.342
4.228 4.228 6.231
4.228 6.231 4.228
4.228 4.228 2.225
4.228 2.225 4.228
6.231 4.228 4.228
2.225 4.228 4.228
0.000 0.000 0.000
2.114 2.114 2.114
4.228 4.228 4.228
```



A relaxed structure of BaDy2ScO5, computed with PBE-GGA.

Properties
**DOS(E_F)**: 2.1 states/eV/cell
**Uncorrected formation energy**: -305.5 kJ/mol of atoms
**E**: -7.861 eV/atom
**Calculated density**: 7.323 Mg/m³
**SG**: No. 71
**Spin magnetization**: 0.0 μB/cell

Structure (POSCAR):
```
BaDy2ScO5
1.0
-3.896 0.524 -0.497
-0.753 -5.823 -0.237
1.582 2.515 6.037
O Dy Sc Ba
5 2 1 1
Cartesian
-2.340 -1.142 1.346
-0.726 -1.642 3.956
-0.326 1.451 4.082
-2.740 -4.235 1.220
0.000 0.000 0.000
-0.319 -0.058 2.437
-2.747 -2.726 2.865
-1.948 0.262 -0.249
-0.376 -2.912 -0.118
```



A relaxed structure of Ba2DySeO6, computed with PBE-GGA.

Properties
**Uncorrected formation energy**: -214.0 kJ/mol of atoms
**E**: -6.386 eV/atom
**Calculated density**: 6.158 Mg/m³
**SG**: No. 166
**Spin magnetization**: 0.0 μB/cell

Structure (POSCAR):
```
Ba2DySeO6
1.0
5.995 0.000 0.000
2.998 5.192 0.000
2.998 1.731 10.606
O Dy Ba Se
12 2 4 2
Cartesian
5.995 1.680 1.204
7.538 4.352 1.204
5.995 1.950 6.381
7.304 4.217 6.381
4.686 2.706 4.225
4.686 4.217 6.381
7.304 2.706 4.225
4.452 4.352 1.204
5.995 4.973 4.225
5.995 5.243 9.402
7.538 2.571 9.402
4.452 2.571 9.402
5.995 3.461 2.395
5.995 3.461 8.211
2.998 1.731 1.080
8.993 5.192 4.263
8.993 5.192 9.525
2.998 1.731 6.343
5.995 3.461 5.303
0.000 0.000 0.000
```



A relaxed structure of BaSrDySeO6, computed with PBE-GGA.

Properties
**DOS(E_F)**: 2.8 states/eV/cell
**Uncorrected formation energy**: -217.1 kJ/mol of atoms
**E**: -6.395 eV/atom
**Calculated density**: 6.428 Mg/m³
**SG**: No. 216
**Spin magnetization**: 0.0 μB/cell

Structure (POSCAR):
```
BaSrDySeO6
1.0
-0.080 -5.856 0.725
-0.051 -2.300 5.434
-4.861 -2.655 2.035
O Se Dy Sr Ba
6 1 1 1 1
Cartesian
-1.363 -5.616 2.515
-1.387 -6.695 5.063
-3.643 -6.861 3.470
-1.350 -3.949 4.724
-3.605 -4.115 3.130
-3.629 -5.194 5.678
-2.496 -5.405 4.097
0.000 0.000 0.000
-3.744 -8.108 6.145
-1.248 -2.703 2.048
```



A relaxed structure of BaDySiO4, computed with PBE-GGA.

Properties
**DOS(E_F)**: 2.8 states/eV/cell
**Uncorrected formation energy**: -249.9 kJ/mol of atoms
**E**: -7.130 eV/atom
**Calculated density**: 4.011 Mg/m³
**SG**: No. 216
**Spin magnetization**: 0.6 μB/cell

Structure (POSCAR):
```
BaDySiO4
1.0
6.122 0.000 0.000
3.061 5.302 0.000
3.061 1.767 4.999
O Dy Ba Si
4 1 1 1
Cartesian
6.122 3.535 4.601
7.838 2.544 1.799
4.406 2.544 1.799
6.122 5.516 1.799
6.122 3.535 2.499
9.183 5.302 3.749
3.061 1.767 1.250
```



A relaxed structure of BaSm2DyO5, computed with PBE-GGA.

Properties
**DOS(E_F)**: 2.3 states/eV/cell
**Uncorrected formation energy**: -290.4 kJ/mol of atoms
**E**: -7.538 eV/atom
**Calculated density**: 7.376 Mg/m³
**SG**: No. 71
**Spin magnetization**: 0.4 μB/cell

Structure (POSCAR):
```
BaSm2DyO5
1.0
4.242 0.000 0.000
0.000 6.065 0.000
-2.121 -3.033 5.955
O Ba Sm Dy
5 1 2 1
Cartesian
2.121 1.445 1.761
0.000 0.000 0.000
2.121 4.620 1.761
0.000 -1.587 4.194
0.000 1.587 4.194
0.000 3.033 0.000
2.121 3.033 3.356
0.000 0.000 2.598
2.121 0.000 0.000
```



A relaxed structure of Ba2DySnO6, computed with PBE-GGA.

Properties
**DOS(E_F)**: 7.7 states/eV/cell
**Uncorrected formation energy**: -240.9 kJ/mol of atoms
**E**: -6.717 eV/atom
**Calculated density**: 6.719 Mg/m³
**SG**: No. 225
**Spin magnetization**: 1.0 μB/cell

Structure (POSCAR):
```
Ba2DySnO6
1.0
6.107 0.000 -0.002
0.000 6.107 -0.002
3.052 3.052 4.317
O Sn Dy Ba
6 1 1 2
Cartesian
1.581 1.581 -0.001
6.107 6.107 2.232
3.053 3.053 2.081
7.579 7.578 4.314
4.633 7.579 4.315
4.527 1.581 -0.002
3.054 3.053 -0.002
0.000 0.000 0.000
3.053 6.107 2.157
6.107 3.052 2.156
```



A relaxed structure of BaSrDy4O8, computed with PBE-GGA.

Properties
**DOS(E_F)**: 0.0 states/eV/cell
**Uncorrected formation energy**: -319.3 kJ/mol of atoms
**E**: -7.715 eV/atom
**Calculated density**: 7.684 Mg/m³
**SG**: No. 26
**Spin magnetization**: 0.0 μB/cell

Structure (POSCAR):
```
BaSrDy4O8
1.0
3.459 0.000 0.000
0.000 10.339 0.000
0.000 0.000 12.123
O Dy Sr Ba
16 8 2 2
Cartesian
0.000 5.333 11.717
0.000 4.458 3.886
0.000 6.378 8.903
1.729 5.964 2.056
0.000 7.338 4.968
1.729 4.974 6.467
1.729 8.166 11.178
1.729 10.143 5.656
0.000 9.627 8.237
1.729 3.900 9.376
1.729 0.795 10.066
0.000 2.169 7.154
0.000 1.209 3.220
1.729 2.997 0.945
1.729 9.069 2.746
0.000 0.163 0.406
1.729 5.956 4.327
0.000 9.573 10.497
1.729 5.963 10.462
1.729 0.794 1.661
1.729 0.787 7.796
0.000 4.404 1.625
0.000 9.529 4.325
0.000 4.359 7.798
0.000 2.624 10.883
0.000 7.794 1.239
1.729 2.552 4.847
1.729 7.722 7.276
```



> Look up the calculated density of the fifth one.

6.991 Mg/m³



What did the ninth record say?
A relaxed structure of BaDySiO4, computed with PBE-GGA.

Properties
**DOS(E_F)**: 2.8 states/eV/cell
**Uncorrected formation energy**: -249.9 kJ/mol of atoms
**E**: -7.130 eV/atom
**Calculated density**: 4.011 Mg/m³
**SG**: No. 216
**Spin magnetization**: 0.6 μB/cell

Structure (POSCAR):
```
BaDySiO4
1.0
6.122 0.000 0.000
3.061 5.302 0.000
3.061 1.767 4.999
O Dy Ba Si
4 1 1 1
Cartesian
6.122 3.535 4.601
7.838 2.544 1.799
4.406 2.544 1.799
6.122 5.516 1.799
6.122 3.535 2.499
9.183 5.302 3.749
3.061 1.767 1.250
```



> Number 1 is which compound?

Ba4DySb3O12